[1]
TlRe2Ag | GGA-PBE | optimized geometry

Lattice parameters (Å, degrees): 4.644 3.879 3.879 90.00 90.00 90.00
Atoms (fractional coordinates):
Re1 0.000 0.000 0.000
Re2 0.000 0.500 0.500
Tl1 0.500 0.500 0.000
Ag1 0.500 0.000 0.500

Calculated formation energy (eV/atom): 1.07
E_tot (eV for the cell shown): -25.8

=====

[2]
SrCaGa2Ni | GGA-PBE | optimized geometry

Lattice parameters (Å, degrees): 5.563 6.362 5.563 90.00 90.00 90.00
Atoms (fractional coordinates):
Ga1 0.500 0.000 0.000
Ga2 0.000 0.000 0.500
Ca1 0.000 0.500 0.000
Sr1 0.000 0.000 0.000
Ni1 0.500 0.500 0.500

Calculated formation energy (eV/atom): 1.38
E_tot (eV for the cell shown): -8.6

=====

[3]
TaTlH2W | GGA-PBE | optimized geometry

Lattice parameters (Å, degrees): 3.868 5.222 3.868 90.00 90.00 90.00
Atoms (fractional coordinates):
Ta1 0.000 0.000 0.000
Tl1 0.500 0.500 0.500
H1 0.000 0.000 0.500
H2 0.500 0.000 0.000
W1 0.000 0.500 0.000

E_tot (eV for the cell shown): -29.2

=====

[4]
Mg5Hg2Bi | GGA-PBE | optimized geometry

Lattice parameters (Å, degrees): 4.573 6.883 12.111 90.00 90.00 90.00
Atoms (fractional coordinates):
Bi1 0.000 0.000 0.500
Bi2 0.000 0.500 0.000
Hg1 0.500 0.893 0.162
Hg2 0.500 0.393 0.338
Hg3 0.500 0.607 0.662
Hg4 0.500 0.107 0.838
Mg1 0.500 0.209 0.602
Mg2 0.500 0.791 0.398
Mg3 0.000 0.500 0.500
Mg4 0.000 0.133 0.262
Mg5 0.000 0.000 0.000
Mg6 0.000 0.367 0.762
Mg7 0.500 0.291 0.102
Mg8 0.000 0.633 0.238
Mg9 0.500 0.709 0.898
Mg10 0.000 0.867 0.738

Calculated formation energy (eV/atom): -0.16
E_tot (eV for the cell shown): -27.4

=====

[5]
Hf3Zr8Sc4 | GGA-PBE | optimized geometry

Lattice parameters (Å, degrees): 6.051 8.319 8.319 86.62 111.24 111.24
Atoms (fractional coordinates):
Zr1 0.016 0.277 0.277
Zr2 0.500 0.746 0.254
Zr3 0.000 0.357 0.643
Zr4 0.500 0.254 0.746
Zr5 0.984 0.723 0.723
Zr6 0.000 0.643 0.357
Zr7 0.536 0.272 0.272
Zr8 0.464 0.728 0.728
Sc1 0.000 0.000 0.500
Sc2 0.000 0.500 0.000
Sc3 0.000 0.000 0.000
Sc4 0.500 0.000 0.000
Hf1 0.500 0.000 0.500
Hf2 0.500 0.500 0.500
Hf3 0.500 0.500 0.000

Calculated formation energy (eV/atom): 0.41
E_tot (eV for the cell shown): -117.5

=====

[6]
LiSnHRh2 | GGA-PBE | optimized geometry

Lattice parameters (Å, degrees): 4.086 4.086 3.689 90.00 90.00 90.00
Atoms (fractional coordinates):
Li1 0.000 0.000 0.500
Rh1 0.000 0.500 0.000
Rh2 0.500 0.000 0.000
H1 0.000 0.000 0.000
Sn1 0.500 0.500 0.500

E_tot (eV for the cell shown): -26.4

=====

[7]
CsTa2S2 | GGA-PBE | optimized geometry

Lattice parameters (Å, degrees): 8.679 8.679 3.189 90.00 90.00 90.00
Atoms (fractional coordinates):
Cs1 0.500 0.500 0.000
Cs2 0.000 0.000 0.000
Ta1 0.600 0.900 0.500
Ta2 0.400 0.100 0.500
Ta3 0.900 0.400 0.500
Ta4 0.100 0.600 0.500
S1 0.867 0.633 0.000
S2 0.633 0.133 0.000
S3 0.133 0.367 0.000
S4 0.367 0.867 0.000

E_tot (eV for the cell shown): -63.3
Formation energy from raw total energies (meV per atom): 233

=====

[8]
ScFeH2 | GGA-PBE | optimized geometry

Lattice parameters (Å, degrees): 3.677 3.677 3.677 60.00 60.00 60.00
Atoms (fractional coordinates):
H1 0.250 0.250 0.250
H2 0.750 0.750 0.750
Fe1 0.500 0.500 0.500
Sc1 0.000 0.000 0.000

E_tot (eV for the cell shown): -20.8

=====

[9]
LiYHf | GGA-PBE | optimized geometry

Lattice parameters (Å, degrees): 15.970 15.970 15.970 11.92 11.92 11.92
Atoms (fractional coordinates):
Hf1 0.750 0.750 0.750
Hf2 0.136 0.136 0.136
Li1 0.635 0.635 0.635
Li2 0.918 0.918 0.918
Y1 0.525 0.525 0.525
Y2 0.360 0.360 0.360

Calculated formation energy (eV/atom): 0.13
E_tot (eV for the cell shown): -35.9

=====

[10]
Ca2LaGe2 | GGA-PBE | optimized geometry

Lattice parameters (Å, degrees): 5.365 5.365 6.513 65.67 65.67 90.00
Atoms (fractional coordinates):
Ca1 0.658 0.658 0.684
Ca2 0.342 0.342 0.316
Ge1 0.250 0.750 0.500
Ge2 0.750 0.250 0.500
La1 0.000 0.000 0.000

Calculated formation energy (eV/atom): -0.20
E_tot (eV for the cell shown): -19.1

=====

[11]
Ac3AgRh2 | GGA-PBE | optimized geometry

Lattice parameters (Å, degrees): 3.758 3.758 11.659 90.00 90.00 90.00
Atoms (fractional coordinates):
Ag1 0.500 0.500 0.500
Ac1 0.000 0.000 0.688
Ac2 0.000 0.000 0.312
Ac3 0.000 0.000 0.000
Rh1 0.500 0.500 0.164
Rh2 0.500 0.500 0.836

Calculated formation energy (eV/atom): -0.46
E_tot (eV for the cell shown): -32.7

=====

[12]
TiGa2Cu2 | GGA-PBE | optimized geometry

Lattice parameters (Å, degrees): 7.327 7.327 2.665 90.00 90.00 90.00
Atoms (fractional coordinates):
Ti1 0.000 0.000 0.000
Ti2 0.500 0.500 0.000
Ga1 0.823 0.323 0.500
Ga2 0.323 0.177 0.500
Ga3 0.677 0.823 0.500
Ga4 0.177 0.677 0.500
Cu1 0.378 0.878 0.000
Cu2 0.122 0.378 0.000
Cu3 0.878 0.622 0.000
Cu4 0.622 0.122 0.000

Calculated formation energy (eV/atom): -0.13
E_tot (eV for the cell shown): -45.6

=====

no.,spin magnetization (μB/cell)
1,0.0
2,0.0
3,0.0
4,0.0
5,0.0
6,0.0
7,0.0
8,0.0
9,0.0
10,0.8
11,0.0
12,0.0